RbLi4Cu3F12: optimized geometry, PBE.

The structure belongs to space group Im-3 (No. 204); the cell edges are 7.6863, 7.6863 and 7.6863 Å and the angles 90.00°, 90.00° and 90.00°. The inequivalent atoms are Rb at (0.0000, 0.0000, 0.0000), Li at (0.2500, 0.2500, 0.2500), Cu at (0.0000, 0.0000, 0.5000) and F at (0.0000, 0.3262, 0.1717).

Its density of states at the Fermi level is 0.585 states/eV per atom. The calculation puts the total DFT energy (no corrections) at -0.322 Ry per atom.


Fe2HRu: optimized geometry, PBE.

The structure belongs to space group Fm-3m (No. 225); the cell edges are 5.5129, 5.5129 and 5.5129 Å and the angles 90.00°, 90.00° and 90.00°. The inequivalent atoms are Fe at (0.2500, 0.2500, 0.2500), H at (0.0000, 0.0000, 0.0000) and Ru at (0.0000, 0.0000, 0.5000).

Its density of states at the Fermi level is 0.994 states/eV per atom. Its energy above the most stable polymorph in this dataset is 769 meV per atom.


SrGaSnAu2: optimized geometry, PBE.

The structure belongs to space group I-4m2 (No. 119); the cell edges are 4.4920, 4.4920 and 12.0293 Å and the angles 90.00°, 90.00° and 90.00°. The inequivalent atoms are Sr at (0.0000, 0.0000, 0.0000), Ga at (0.0000, 0.5000, 0.2500), Sn at (0.0000, 0.5000, 0.7500) and Au at (0.0000, 0.0000, 0.3850).

Its density of states at the Fermi level is 0.494 states/eV per atom. The calculation puts the energy of formation at -536 meV/atom.